Entry 1:
! TlSb2PbI, optimized geometry, DFT PBE-GGA; values from VASP
! **Formation energy (no corrections)**: 412.5 meV/atom
! **Mass density**: 5.8 g/cm3
! **ΔE to the lowest computed polymorph**: 0.000 eV/atom
! **Symmetry**: No. 123
&SYSTEM
  ibrav = 0, nat = 5, ntyp = 4
/
ATOMIC_SPECIES
Sb 121.76 Sb.upf
I 126.90 I.upf
Tl 204.38 Tl.upf
Pb 207.20 Pb.upf
CELL_PARAMETERS angstrom
5.881 0.000 0.000
0.000 5.881 0.000
0.000 0.000 6.450
ATOMIC_POSITIONS crystal
Sb 0.000 0.500 0.000
Sb 0.500 0.000 0.000
I 0.000 0.000 0.500
Tl 0.500 0.500 0.500
Pb 0.000 0.000 0.000

---

Entry 2:
! TeHPd2Au, optimized geometry, DFT PBE-GGA; values from VASP
! **Total DFT energy (no corrections)**: -4.043 eV/atom
! **Mass density**: 11.7 g/cm3
! **Symmetry**: No. 123
&SYSTEM
  ibrav = 0, nat = 5, ntyp = 4
/
ATOMIC_SPECIES
Pd 106.42 Pd.upf
Au 196.97 Au.upf
H 1.01 H.upf
Te 127.60 Te.upf
CELL_PARAMETERS angstrom
-2.008 -3.162 -2.382
-1.386 -1.940 3.744
-3.240 2.130 -0.096
ATOMIC_POSITIONS crystal
Pd 0.000 0.500 0.000
Pd 0.500 0.000 0.000
Au 0.000 0.000 0.500
H 0.000 0.000 0.000
Te 0.500 0.500 0.500

---

Question: What is the formula in the second record?
Answer: TeHPd2Au

---

Question: What is the mass density in the first record?
Answer: 5.8 g/cm3

---

Question: Among the records above, which one has the highest mass density?
Answer: TeHPd2Au

---

Question: What is the formula in the first record?
Answer: TlSb2PbI